ZrScAg after structural relaxation, computed with PBE.

Geometry as CIF:
```
data_ZrScAg
_space_group_name_H-M_alt 'C 1 2/m 1'
_space_group_IT_number 12
_cell_length_a 9.8159
_cell_length_b 4.4286
_cell_length_c 6.2675
_cell_angle_alpha 90.00
_cell_angle_beta 110.91
_cell_angle_gamma 90.00
loop_
_space_group_symop_operation_xyz
'x,y,z'
'-x,-y,-z'
'-x,y,-z'
'x,-y,z'
'x+1/2,y+1/2,z'
'-x+1/2,-y+1/2,-z'
'-x+1/2,y+1/2,-z'
'x+1/2,-y+1/2,z'
loop_
_atom_site_label
_atom_site_fract_x
_atom_site_fract_y
_atom_site_fract_z
Zr1 0.1662 0.0000 0.0542
Sc1 0.0276 0.5000 0.2636
Ag1 0.1591 0.0000 0.5707
```

Crystal system: monoclinic
ΔH_f (0 K) (meV/atom): -65
Energy (eV/cell): -71.7
V (Å³ per cell): 254.5

=====

ZrScAg after structural relaxation, computed with PBE.

Geometry as CIF:
```
data_ZrScAg
_space_group_name_H-M_alt 'P 1 m 1'
_space_group_IT_number 6
_cell_length_a 5.1144
_cell_length_b 3.2172
_cell_length_c 7.9540
_cell_angle_alpha 90.00
_cell_angle_beta 99.63
_cell_angle_gamma 90.00
loop_
_space_group_symop_operation_xyz
'x,y,z'
'x,-y,z'
loop_
_atom_site_label
_atom_site_fract_x
_atom_site_fract_y
_atom_site_fract_z
Zr1 0.0000 0.0000 0.0000
Zr2 0.4193 0.0000 0.7402
Sc1 0.3155 0.5000 0.3822
Sc2 0.8956 0.5000 0.6465
Ag1 0.5232 0.5000 0.0646
Ag2 0.8056 0.0000 0.3395
```

Crystal system: monoclinic
ΔH_f (0 K) (meV/atom): -60
Energy (eV/cell): -35.8
V (Å³ per cell): 129.0